A plane-wave DFT calculation with PBE was carried out for a relaxed Tl2MoIr crystal.

Cell: 10.133 10.133 10.133 Å, 17.31 17.31 17.31°
Sites, in units of the cell vectors:
Tl (0.000, 0.000, 0.000)
Tl (0.234, 0.234, 0.234)
Mo (0.483, 0.483, 0.483)
Ir (0.751, 0.751, 0.751)

Computed properties:
The space-group type is No. 160. As for the crystal system: trigonal. For the relative energy among the computed polymorphs, the calculation gives 0.166 eV per atom. The size of the total moment comes out at 0.00 μB/cell.